# 1
Here is a geometry-optimized CsLu2Si2 structure from OQMD. Energies are from GGA-PBE.

Computed properties:
**Crystal system**: orthorhombic

Cell lengths 4.7409, 12.8744, 11.7168 Å; angles 90.00, 90.00, 90.00 degrees
Closest atoms and distances in Å follow each position.
Space group Cmcm (No. 63)
Unique sites:
Cs 0.0000 0.0652 0.2500 [4 per cell]  6 Si 3.77-3.93
Lu 0.0000 0.3472 0.0420 [8 per cell]  3 Si 2.73-2.85
Si 0.0000 0.2262 0.6496 [8 per cell]  1 Si 2.35

***

# 2
Here is a geometry-optimized CsLuSiTe3 structure from OQMD. Energies are from GGA-PBE.

Computed properties:
**Crystal system**: orthorhombic

Cell lengths 4.3279, 16.7457, 12.4105 Å; angles 90.00, 90.00, 90.00 degrees
Closest atoms and distances in Å follow each position.
Space group Cmcm (No. 63)
Unique sites:
Cs 0.0000 0.2405 0.2500 [4 per cell]  2 Si 3.74, 2 Te 3.94
Lu 0.0000 0.5000 0.0000 [4 per cell]  6 Te 3.01-3.13
Si 0.0000 0.0771 0.7500 [4 per cell]  4 Te 2.74-2.90
Te 0.0000 0.1237 0.5252 [8 per cell]  1 Si 2.90, 2 Lu 3.01
Te 0.0000 0.4767 0.7500 [4 per cell]  2 Si 2.74

***

# 3
Here is a geometry-optimized CsLuSnTe3 structure from OQMD. Energies are from GGA-PBE.

Computed properties:
**Crystal system**: orthorhombic

Cell lengths 4.3522, 17.7755, 12.7407 Å; angles 90.00, 90.00, 90.00 degrees
Closest atoms and distances in Å follow each position.
Space group Cmcm (No. 63)
Unique sites:
Cs 0.0000 0.2207 0.2500 [4 per cell]  2 Te 3.75, 2 Sn 3.96
Lu 0.0000 0.5000 0.0000 [4 per cell]  6 Te 3.02-3.20
Sn 0.0000 0.0934 0.7500 [4 per cell]  4 Te 2.95-3.13
Te 0.0000 0.1176 0.5068 [8 per cell]  2 Lu 3.02, 1 Sn 3.13
Te 0.0000 0.4816 0.7500 [4 per cell]  2 Sn 2.95, 2 Lu 3.20

***

| no. | M_tot (μB/cell) | calculated total energy (eV/atom) | mass density (g/cm³) |
| --- | --- | --- | --- |
| 1 | 2.84 | -4.02 | 5.01 |
| 2 | 0.03 | -4.11 | 5.31 |
| 3 | 0.01 | -4.02 | 5.45 |